No. 1
Here is a relaxed CoTc2Pd crystal from OQMD. Energies are from PBE-GGA.

Lattice parameters (Å, degrees): 4.286 4.286 4.286 60.00 60.00 60.00
Atoms (fractional coordinates):
Co1 0.000 0.000 0.000
Tc1 0.250 0.250 0.250
Tc2 0.500 0.500 0.500
Pd1 0.750 0.750 0.750

Its total moment is 1.1 Bohr magnetons per cell. The formation energy is 0.299 eV per atom. The total DFT energy (no corrections) comes out at -7.95 eV per atom.

No. 2
Here is a relaxed Y3Mg3Zn2Pt crystal from OQMD. Energies are from PBE-GGA.

Lattice parameters (Å, degrees): 7.456 7.456 4.175 90.00 90.00 120.00
Atoms (fractional coordinates):
Y1 0.000 0.596 0.000
Y2 0.404 0.404 0.000
Y3 0.596 0.000 0.000
Mg1 0.000 0.240 0.500
Mg2 0.240 0.000 0.500
Mg3 0.760 0.760 0.500
Zn1 0.333 0.667 0.500
Zn2 0.667 0.333 0.500
Pt1 0.000 0.000 0.000

Its total moment is 0.0 Bohr magnetons per cell. The total DFT energy (no corrections) comes out at -4.12 eV per atom.

No. 3
Here is a relaxed Ac2GePd3 crystal from OQMD. Energies are from PBE-GGA.

Lattice parameters (Å, degrees): 4.114 4.516 7.986 90.00 90.00 90.00
Atoms (fractional coordinates):
Ac1 0.000 0.000 0.000
Ac2 0.000 0.500 0.481
Ge1 0.500 0.500 0.812
Pd1 0.500 0.000 0.328
Pd2 0.500 0.000 0.672
Pd3 0.500 0.500 0.129

Its total moment is 0.0 Bohr magnetons per cell. The total DFT energy (no corrections) comes out at -5.58 eV per atom.

No. 4
Here is a relaxed Sr2CdSn2Hg crystal from OQMD. Energies are from PBE-GGA.

Lattice parameters (Å, degrees): 5.014 5.014 8.190 90.00 90.00 120.00
Atoms (fractional coordinates):
Sr1 0.000 0.000 0.000
Sr2 0.000 0.000 0.497
Cd1 0.667 0.333 0.702
Sn1 0.333 0.667 0.783
Sn2 0.667 0.333 0.287
Hg1 0.333 0.667 0.201

The total DFT energy (no corrections) comes out at -2.65 eV per atom.

No. 5
Here is a relaxed NbCd2SiP4 crystal from OQMD. Energies are from PBE-GGA.

Lattice parameters (Å, degrees): 6.909 6.909 6.909 130.87 130.87 72.02
Atoms (fractional coordinates):
Nb1 0.000 0.000 0.000
Cd1 0.250 0.750 0.500
Cd2 0.500 0.500 0.000
Si1 0.750 0.250 0.500
P1 0.081 0.608 0.948
P2 0.392 0.340 0.473
P3 0.660 0.133 0.052
P4 0.867 0.919 0.527

Its total moment is 0.7 Bohr magnetons per cell. The total DFT energy (no corrections) comes out at -4.98 eV per atom.

No. 6
Here is a relaxed YSb2Os crystal from OQMD. Energies are from PBE-GGA.

Lattice parameters (Å, degrees): 5.020 5.020 5.020 60.00 60.00 60.00
Atoms (fractional coordinates):
Y1 0.000 0.000 0.000
Sb1 0.250 0.250 0.250
Sb2 0.500 0.500 0.500
Os1 0.750 0.750 0.750

Its total moment is 0.1 Bohr magnetons per cell. The total DFT energy (no corrections) comes out at -6.28 eV per atom.

No. 7
Here is a relaxed LiMgCoTe crystal from OQMD. Energies are from PBE-GGA.

Lattice parameters (Å, degrees): 4.457 4.457 4.457 60.00 60.00 60.00
Atoms (fractional coordinates):
Li1 0.000 0.000 0.000
Mg1 0.750 0.750 0.750
Co1 0.500 0.500 0.500
Te1 0.250 0.250 0.250

Its total moment is 0.0 Bohr magnetons per cell. The total DFT energy (no corrections) comes out at -3.57 eV per atom. The energy above the most stable polymorph in this dataset is 0.000 eV/atom.

No. 8
Here is a relaxed LaTbB2Ir2N2 crystal from OQMD. Energies are from PBE-GGA.

Lattice parameters (Å, degrees): 3.813 3.813 7.541 90.00 90.00 90.00
Atoms (fractional coordinates):
La1 0.000 0.000 0.000
Tb1 0.500 0.500 0.668
B1 0.000 0.000 0.483
B2 0.500 0.500 0.181
Ir1 0.000 0.500 0.337
Ir2 0.500 0.000 0.337
N1 0.000 0.000 0.681
N2 0.500 0.500 0.981

Its total moment is 0.0 Bohr magnetons per cell. The total DFT energy (no corrections) comes out at -8.28 eV per atom.

No. 9
Here is a relaxed Tb5Ga2Bi crystal from OQMD. Energies are from PBE-GGA.

Lattice parameters (Å, degrees): 8.691 8.691 8.691 123.52 123.52 84.01
Atoms (fractional coordinates):
Tb1 0.000 0.000 0.000
Tb2 0.011 0.511 0.805
Tb3 0.206 0.011 0.500
Tb4 0.294 0.794 0.805
Tb5 0.489 0.294 0.500
Tb6 0.500 0.500 0.000
Tb7 0.511 0.706 0.500
Tb8 0.706 0.206 0.195
Tb9 0.794 0.989 0.500
Tb10 0.989 0.489 0.195
Ga1 0.148 0.352 0.500
Ga2 0.352 0.852 0.203
Ga3 0.648 0.148 0.797
Ga4 0.852 0.648 0.500
Bi1 0.250 0.250 0.000
Bi2 0.750 0.750 0.000

Its total moment is 0.0 Bohr magnetons per cell. The total DFT energy (no corrections) comes out at -4.74 eV per atom.

No. 10
Here is a relaxed BeMoPd crystal from OQMD. Energies are from PBE-GGA.

Lattice parameters (Å, degrees): 4.041 4.041 4.041 60.00 60.00 60.00
Atoms (fractional coordinates):
Be1 0.000 0.000 0.000
Mo1 0.500 0.500 0.500
Pd1 0.250 0.250 0.250

Its total moment is 0.0 Bohr magnetons per cell. The total DFT energy (no corrections) comes out at -6.19 eV per atom. The energy above the most stable polymorph in this dataset is 0.000 eV/atom.

No. 11
Here is a relaxed Cs2SnHgBr6 crystal from OQMD. Energies are from PBE-GGA.

Lattice parameters (Å, degrees): 8.087 8.087 8.087 60.72 60.72 60.72
Atoms (fractional coordinates):
Cs1 0.000 0.000 0.000
Cs2 0.498 0.498 0.498
Sn1 0.248 0.248 0.248
Hg1 0.749 0.749 0.749
Br1 0.038 0.953 0.501
Br2 0.458 0.543 0.995
Br3 0.501 0.038 0.953
Br4 0.543 0.995 0.458
Br5 0.953 0.501 0.038
Br6 0.995 0.458 0.543

The total DFT energy (no corrections) comes out at -2.71 eV per atom. The energy above the most stable polymorph in this dataset is 0.000 eV/atom.

No. 12
Here is a relaxed HfScZnNi crystal from OQMD. Energies are from PBE-GGA.

Lattice parameters (Å, degrees): 4.539 4.539 4.539 60.00 60.00 60.00
Atoms (fractional coordinates):
Hf1 0.000 0.000 0.000
Sc1 0.250 0.250 0.250
Zn1 0.500 0.500 0.500
Ni1 0.750 0.750 0.750

Its total moment is 1.0 Bohr magnetons per cell. The formation energy is -0.043 eV per atom. The total DFT energy (no corrections) comes out at -5.82 eV per atom. The energy above the most stable polymorph in this dataset is 0.000 eV/atom.

No. 13
Here is a relaxed CoSn2Pt crystal from OQMD. Energies are from PBE-GGA.

Lattice parameters (Å, degrees): 4.696 4.696 4.696 60.00 60.00 60.00
Atoms (fractional coordinates):
Co1 0.000 0.000 0.000
Sn1 0.250 0.250 0.250
Sn2 0.500 0.500 0.500
Pt1 0.750 0.750 0.750

Its total moment is 0.3 Bohr magnetons per cell. The total DFT energy (no corrections) comes out at -5.01 eV per atom.

No. 14
Here is a relaxed CsGdAgSe3 crystal from OQMD. Energies are from PBE-GGA.

Lattice parameters (Å, degrees): 8.401 8.401 10.964 90.00 90.00 151.11
Atoms (fractional coordinates):
Cs1 0.247 0.753 0.750
Cs2 0.753 0.247 0.250
Gd1 0.500 0.500 0.000
Gd2 0.500 0.500 0.500
Ag1 0.038 0.962 0.250
Ag2 0.962 0.038 0.750
Se1 0.121 0.879 0.046
Se2 0.121 0.879 0.454
Se3 0.437 0.563 0.250
Se4 0.563 0.437 0.750
Se5 0.879 0.121 0.546
Se6 0.879 0.121 0.954

Its total moment is 0.1 Bohr magnetons per cell. The total DFT energy (no corrections) comes out at -4.27 eV per atom.

No. 15
Here is a relaxed LuSbNO crystal from OQMD. Energies are from PBE-GGA.

Lattice parameters (Å, degrees): 5.455 7.942 5.713 90.00 90.00 90.00
Atoms (fractional coordinates):
Lu1 0.012 0.125 0.000
Lu2 0.488 0.125 0.500
Lu3 0.512 0.875 0.000
Lu4 0.988 0.875 0.500
Sb1 0.022 0.368 0.515
Sb2 0.478 0.368 0.015
Sb3 0.522 0.632 0.515
Sb4 0.978 0.632 0.015
N1 0.140 0.610 0.528
N2 0.360 0.610 0.028
N3 0.640 0.390 0.528
N4 0.860 0.390 0.028
O1 0.249 0.982 0.249
O2 0.251 0.982 0.749
O3 0.749 0.018 0.249
O4 0.751 0.018 0.749

Its total moment is 0.0 Bohr magnetons per cell. The total DFT energy (no corrections) comes out at -6.96 eV per atom. The energy above the most stable polymorph in this dataset is 0.000 eV/atom.

No. 16
Here is a relaxed GdAgSnTe3 crystal from OQMD. Energies are from PBE-GGA.

Lattice parameters (Å, degrees): 14.557 4.335 11.668 90.00 90.00 90.00
Atoms (fractional coordinates):
Gd1 0.009 0.250 0.176
Gd2 0.491 0.750 0.676
Gd3 0.509 0.250 0.324
Gd4 0.991 0.750 0.824
Ag1 0.007 0.750 0.412
Ag2 0.493 0.250 0.912
Ag3 0.507 0.750 0.088
Ag4 0.993 0.250 0.588
Sn1 0.218 0.250 0.446
Sn2 0.282 0.750 0.946
Sn3 0.718 0.250 0.054
Sn4 0.782 0.750 0.554
Te1 0.113 0.250 0.941
Te2 0.124 0.750 0.618
Te3 0.151 0.750 0.249
Te4 0.349 0.250 0.749
Te5 0.376 0.250 0.118
Te6 0.387 0.750 0.441
Te7 0.613 0.250 0.559
Te8 0.624 0.750 0.882
Te9 0.651 0.750 0.251
Te10 0.849 0.250 0.751
Te11 0.876 0.250 0.382
Te12 0.887 0.750 0.059

Its total moment is 0.0 Bohr magnetons per cell. The total DFT energy (no corrections) comes out at -4.16 eV per atom. The energy above the most stable polymorph in this dataset is 0.000 eV/atom.

No. 17
Here is a relaxed ThMg crystal from OQMD. Energies are from PBE-GGA.

Lattice parameters (Å, degrees): 5.464 9.229 9.229 142.21 90.00 90.00
Atoms (fractional coordinates):
Th1 0.000 0.000 0.000
Th2 0.000 0.215 0.824
Th3 0.000 0.824 0.215
Th4 0.500 0.505 0.893
Th5 0.500 0.893 0.505
Mg1 0.000 0.410 0.601
Mg2 0.000 0.601 0.410
Mg3 0.500 0.099 0.294
Mg4 0.500 0.294 0.099
Mg5 0.500 0.646 0.646

Its total moment is 0.0 Bohr magnetons per cell. The total DFT energy (no corrections) comes out at -4.35 eV per atom.

No. 18
Here is a relaxed HoPSe3S crystal from OQMD. Energies are from PBE-GGA.

Lattice parameters (Å, degrees): 6.674 6.875 7.960 88.35 87.58 80.76
Atoms (fractional coordinates):
Ho1 0.210 0.199 0.055
Ho2 0.790 0.801 0.945
P1 0.312 0.761 0.816
P2 0.688 0.239 0.184
Se1 0.077 0.022 0.755
Se2 0.128 0.518 0.792
Se3 0.414 0.270 0.347
Se4 0.586 0.730 0.653
Se5 0.872 0.482 0.208
Se6 0.923 0.978 0.245
S1 0.390 0.788 0.063
S2 0.610 0.212 0.937

Its total moment is 0.0 Bohr magnetons per cell. The total DFT energy (no corrections) comes out at -4.98 eV per atom. The energy above the most stable polymorph in this dataset is 0.004 eV/atom.

No. 19
Here is a relaxed HfCoHgPb crystal from OQMD. Energies are from PBE-GGA.

Lattice parameters (Å, degrees): 4.813 4.813 4.813 60.00 60.00 60.00
Atoms (fractional coordinates):
Hf1 0.000 0.000 0.000
Co1 0.750 0.750 0.750
Hg1 0.250 0.250 0.250
Pb1 0.500 0.500 0.500

Its total moment is 0.2 Bohr magnetons per cell. The total DFT energy (no corrections) comes out at -4.91 eV per atom. The energy above the most stable polymorph in this dataset is 0.005 eV/atom.

No. 20
Here is a relaxed SmGdSeO2 crystal from OQMD. Energies are from PBE-GGA.

Lattice parameters (Å, degrees): 3.899 3.899 6.871 90.00 90.00 120.00
Atoms (fractional coordinates):
Sm1 0.000 0.000 0.000
Gd1 0.667 0.333 0.422
Se1 0.333 0.667 0.709
O1 0.000 0.000 0.341
O2 0.667 0.333 0.088

Its total moment is 0.0 Bohr magnetons per cell. The total DFT energy (no corrections) comes out at -7.63 eV per atom.